Arrangement 1

{
  "formula": "ZnRuN2F",
  "functional": "PBE",
  "state": "relaxed",
  "crystal_system": "tetragonal",
  "space_group": "No. 123",
  "cell": [[3.8391, 0.0000, 0.0000], [0.0000, 3.8391, 0.0000], [0.0000, 0.0000, 4.2224]],
  "species": ["Zn", "Ru", "N", "N", "F"],
  "fractional_positions": [[0.0000, 0.0000, 0.0000], [0.5000, 0.5000, 0.5000], [0.0000, 0.5000, 0.5000], [0.5000, 0.0000, 0.5000], [0.5000, 0.5000, 0.0000]]
}

***

Arrangement 2

{
  "formula": "ZnRuN2F",
  "functional": "PBE",
  "state": "relaxed",
  "crystal_system": "tetragonal",
  "space_group": "No. 123",
  "cell": [[3.8889, 0.0000, 0.0000], [0.0000, 3.8889, 0.0000], [0.0000, 0.0000, 3.8439]],
  "species": ["Zn", "Ru", "N", "N", "F"],
  "fractional_positions": [[0.0000, 0.0000, 0.0000], [0.5000, 0.5000, 0.5000], [0.0000, 0.5000, 0.0000], [0.5000, 0.0000, 0.0000], [0.0000, 0.0000, 0.5000]]
}

***

Which structure is most stable? arrangement 1, by 78.4 kJ/mol of atoms over the runner-up.